Record 1
# CdAg14Au, optimized geometry, DFT PBE
data_CdAg14Au
_chemical_formula_sum 'Cd2 Ag28 Au2'
_cell_length_a 9.533
_cell_length_b 5.900
_cell_length_c 10.271
_cell_angle_alpha 90.00
_cell_angle_beta 90.00
_cell_angle_gamma 90.00
_symmetry_space_group_name_H-M 'A m m 2'
_symmetry_Int_Tables_number 38
_symmetry_space_group_name_Hall 'A 2 -2'
loop_
_atom_site_label
_atom_site_type_symbol
_atom_site_fract_x
_atom_site_fract_y
_atom_site_fract_z
Cd1 Cd 0.000 0.000 0.000
Ag1 Ag 0.000 0.249 0.250
Ag2 Ag 0.250 0.000 0.666
Ag3 Ag 0.251 0.250 0.415
Ag4 Ag 0.252 0.000 0.166
Ag5 Ag 0.500 0.000 0.332
Ag6 Ag 0.500 0.000 0.831
Ag7 Ag 0.500 0.250 0.081
Au1 Au 0.000 0.000 0.499
# E_form = -0.1 kcal/mol of atoms

---

Record 2
# Cd5Ag2Au4, optimized geometry, DFT PBE
data_Cd5Ag2Au4
_chemical_formula_sum 'Cd10 Ag4 Au8'
_cell_length_a 10.422
_cell_length_b 5.888
_cell_length_c 8.842
_cell_angle_alpha 90.00
_cell_angle_beta 123.59
_cell_angle_gamma 90.00
_symmetry_space_group_name_H-M 'C 1 2/m 1'
_symmetry_Int_Tables_number 12
_symmetry_space_group_name_Hall '-C 2y'
loop_
_atom_site_label
_atom_site_type_symbol
_atom_site_fract_x
_atom_site_fract_y
_atom_site_fract_z
Cd1 Cd 0.000 0.000 0.000
Cd2 Cd 0.001 0.251 0.687
Ag1 Ag 0.242 0.000 0.664
Au1 Au 0.231 0.500 0.000
Au2 Au 0.233 0.500 0.647
# polymorph energy (0 for the lowest one) = 0.45 eV/f.u.
# E_form = -1.6 kcal/mol of atoms

---

Record 3
# Cd3AgAu4, optimized geometry, DFT PBE
data_Cd3AgAu4
_chemical_formula_sum 'Cd6 Ag2 Au8'
_cell_length_a 4.283
_cell_length_b 4.322
_cell_length_c 16.405
_cell_angle_alpha 90.00
_cell_angle_beta 90.00
_cell_angle_gamma 90.00
_symmetry_space_group_name_H-M 'I m m m'
_symmetry_Int_Tables_number 71
_symmetry_space_group_name_Hall '-I 2 2'
loop_
_atom_site_label
_atom_site_type_symbol
_atom_site_fract_x
_atom_site_fract_y
_atom_site_fract_z
Cd1 Cd 0.000 0.000 0.000
Cd2 Cd 0.000 0.000 0.251
Ag1 Ag 0.000 0.000 0.500
Au1 Au 0.000 0.500 0.124
Au2 Au 0.000 0.500 0.376
# E_form = -3.4 kcal/mol of atoms

---

Record 4
# Cd3Ag5Au12, optimized geometry, DFT PBE
data_Cd3Ag5Au12
_chemical_formula_sum 'Cd24 Ag40 Au96'
_cell_length_a 15.917
_cell_length_b 15.917
_cell_length_c 15.917
_cell_angle_alpha 90.00
_cell_angle_beta 90.00
_cell_angle_gamma 90.00
_symmetry_space_group_name_H-M 'I a -3 d'
_symmetry_Int_Tables_number 230
_symmetry_space_group_name_Hall '-I 4bd 2c 3'
loop_
_atom_site_label
_atom_site_type_symbol
_atom_site_fract_x
_atom_site_fract_y
_atom_site_fract_z
Cd1 Cd 0.000 0.250 0.125
Ag1 Ag 0.000 0.000 0.000
Ag2 Ag 0.000 0.250 0.375
Au1 Au 0.006 0.075 0.653
# E_form = 7.5 kcal/mol of atoms

---

Mass density per entry: 10.46 11.50 13.48 10.67 g/cm³
V per entry: 577.7 452.0 303.7 4032.9 Å³ per cell